Computed, not measured: a relaxed structure of Ce5CoBi2O at the GGA+U level of DFT.

The total energy comes out at -54.741 eV/f.u. The value obtained for the magnetization is 6.21 μB per formula unit.

a = 4.6467 Å, b = 4.6467 Å, c = 11.4772 Å
α = 90.00°, β = 90.00°, γ = 90.00°
With the nearest neighbours (Å) after each atom.
Positions (direct):
Ce 0.5000 0.0000 0.5000  2 O 2.32
Ce 0.0000 0.0000 0.7898  1 Co 2.41
Ce 0.0000 0.0000 0.2102  1 Co 2.41
Bi 0.5000 0.5000 0.2853  9 Ce 3.27-3.40
Bi 0.5000 0.5000 0.7147  9 Ce 3.27-3.40
Ce 0.5000 0.5000 0.0000  2 Bi 3.27, 4 Co 3.29
Co 0.0000 0.0000 0.0000  2 Ce 2.41
O 0.0000 0.0000 0.5000  4 Ce 2.32
Ce 0.0000 0.5000 0.5000  2 O 2.32